# 1
VASP calculation (PBE) on ZrPt5 after structural relaxation.

## Properties
DFT total energy, eV/atom: -7.151
Formation energy from the elements, eV per formula unit: -4.15
Space-group type: No. 12

Cell: 9.0777 4.0140 5.7006 Å, 90.00 108.72 90.00°
Closest atoms and distances in Å follow each position.
Positions (direct):
Zr (0.0000, 0.0000, 0.0000)  12 Pt 2.82-2.88
Zr (0.5000, 0.5000, 0.0000)  12 Pt 2.82-2.88
Pt (0.0000, 0.0000, 0.5000)  10 Pt 2.82-2.89, 2 Zr 2.85
Pt (0.1643, 0.5000, 0.3280)  2 Zr 2.82, 10 Pt 2.83-2.89
Pt (0.1649, 0.5000, 0.8271)  9 Pt 2.82-2.89, 3 Zr 2.86-2.88
Pt (0.3351, 0.0000, 0.1729)  9 Pt 2.82-2.89, 3 Zr 2.86-2.88
Pt (0.3357, 0.0000, 0.6720)  2 Zr 2.82, 10 Pt 2.83-2.89
Pt (0.5000, 0.5000, 0.5000)  10 Pt 2.82-2.89, 2 Zr 2.85
Pt (0.6643, 0.0000, 0.3280)  2 Zr 2.82, 10 Pt 2.83-2.89
Pt (0.6649, 0.0000, 0.8271)  9 Pt 2.82-2.89, 3 Zr 2.86-2.88
Pt (0.8351, 0.5000, 0.1729)  9 Pt 2.82-2.89, 3 Zr 2.86-2.88
Pt (0.8357, 0.5000, 0.6720)  2 Zr 2.82, 10 Pt 2.83-2.89

=====

# 2
VASP calculation (PBE) on SmYBiO2 after structural relaxation.

## Properties
DFT total energy, eV/atom: -7.625
Space-group type: No. 107
Energy relative to the elements, uncorrected, eV/atom: -2.6289

Cell: 3.9393 3.9393 13.7471 Å, 90.00 90.00 90.00°
Closest atoms and distances in Å follow each position.
Positions (direct):
Sm (0.0000, 0.0000, 0.0000)  4 O 2.30
Sm (0.5000, 0.5000, 0.5000)  4 O 2.30
Y (0.0000, 0.0000, 0.3352)  4 O 2.25
Y (0.5000, 0.5000, 0.8352)  4 O 2.25
Bi (0.0000, 0.0000, 0.6689)  4 Y 3.60, 4 Sm 3.63, 8 O 3.91-4.02, 4 Bi 3.94
Bi (0.5000, 0.5000, 0.1689)  4 Y 3.60, 4 Sm 3.63, 8 O 3.91-4.02, 4 Bi 3.94
O (0.0000, 0.5000, 0.4142)  2 Y 2.25, 2 Sm 2.30
O (0.0000, 0.5000, 0.9142)  2 Y 2.25, 2 Sm 2.30
O (0.5000, 0.0000, 0.4142)  2 Y 2.25, 2 Sm 2.30
O (0.5000, 0.0000, 0.9142)  2 Y 2.25, 2 Sm 2.30

=====

# 3
VASP calculation (PBE) on Pr6Sm3Tm2Mg after structural relaxation.

## Properties
DFT total energy, eV/atom: -4.419
Formation energy from the elements, eV per formula unit: 0.35
Space-group type: No. 12

Cell: 6.3103 6.3103 11.8673 Å, 95.10 95.10 120.02°
Closest atoms and distances in Å follow each position.
Positions (direct):
Pr (0.0806, 0.4133, 0.2444)  1 Mg 3.54, 2 Tm 3.54-3.55, 6 Pr 3.64-3.65, 3 Sm 3.65
Pr (0.2520, 0.2520, 0.7544)  2 Tm 3.56, 1 Mg 3.56, 6 Pr 3.64-3.65, 3 Sm 3.64
Pr (0.4133, 0.0806, 0.2444)  1 Mg 3.54, 2 Tm 3.54-3.55, 6 Pr 3.64-3.65, 3 Sm 3.65
Pr (0.5867, 0.9194, 0.7556)  1 Mg 3.54, 2 Tm 3.54-3.55, 6 Pr 3.64-3.65, 3 Sm 3.65
Pr (0.7480, 0.7480, 0.2456)  2 Tm 3.56, 1 Mg 3.56, 6 Pr 3.64-3.65, 3 Sm 3.64
Pr (0.9194, 0.5867, 0.7556)  1 Mg 3.54, 2 Tm 3.54-3.55, 6 Pr 3.64-3.65, 3 Sm 3.65
Sm (0.1668, 0.8332, 0.5000)  6 Sm 3.64-3.65, 6 Pr 3.64-3.65
Sm (0.5000, 0.5000, 0.5000)  6 Pr 3.64-3.65, 6 Sm 3.64
Sm (0.8332, 0.1668, 0.5000)  6 Sm 3.64-3.65, 6 Pr 3.64-3.65
Tm (0.3333, 0.6667, 0.0000)  6 Pr 3.54-3.56, 3 Tm 3.64, 3 Mg 3.64
Tm (0.6667, 0.3333, 0.0000)  6 Pr 3.54-3.56, 3 Tm 3.64, 3 Mg 3.64
Mg (0.0000, 0.0000, 0.0000)  6 Pr 3.54-3.56, 6 Tm 3.64

=====

# 4
VASP calculation (PBE) on KSrHg2Pt after structural relaxation.

## Properties
DFT total energy, eV/atom: -2.207
Formation energy from the elements, eV per formula unit: -1.61
Space-group type: No. 123

Cell: 5.4727 5.4727 5.5927 Å, 90.00 90.00 90.00°
Closest atoms and distances in Å follow each position.
Positions (direct):
K (0.0000, 0.0000, 0.0000)  4 Sr 3.87, 8 Hg 3.91
Sr (0.5000, 0.5000, 0.0000)  2 Pt 2.80
Hg (0.0000, 0.5000, 0.5000)  2 Pt 2.74
Hg (0.5000, 0.0000, 0.5000)  2 Pt 2.74
Pt (0.5000, 0.5000, 0.5000)  4 Hg 2.74, 2 Sr 2.80

=====

# 5
VASP calculation (PBE) on SiAg2P after structural relaxation.

## Properties
Distance to the lowest polymorph of the same formula, meV/atom: 220
DFT total energy, eV/atom: -3.751
Space-group type: No. 12
Energy relative to the elements, uncorrected, eV/atom: 0.3825

Cell: 8.4633 2.9224 5.6419 Å, 90.00 102.02 90.00°
Closest atoms and distances in Å follow each position.
Positions (direct):
Si (0.0000, 0.0000, 0.0000)  6 Ag 2.69-2.75, 2 Si 2.92
Si (0.5000, 0.5000, 0.0000)  6 Ag 2.69-2.75, 2 Si 2.92
Ag (0.2492, 0.5000, 0.2425)  3 Si 2.69-2.75, 3 P 2.73-2.80, 2 Ag 2.92
Ag (0.2508, 0.0000, 0.7575)  3 Si 2.69-2.75, 3 P 2.73-2.80, 2 Ag 2.92
Ag (0.7492, 0.0000, 0.2425)  3 Si 2.69-2.75, 3 P 2.73-2.80, 2 Ag 2.92
Ag (0.7508, 0.5000, 0.7575)  3 Si 2.69-2.75, 3 P 2.73-2.80, 2 Ag 2.92
P (0.0000, 0.5000, 0.5000)  6 Ag 2.73-2.80, 2 P 2.92
P (0.5000, 0.0000, 0.5000)  6 Ag 2.73-2.80, 2 P 2.92

=====

# 6
VASP calculation (PBE) on InHPb2 after structural relaxation.

## Properties
Distance to the lowest polymorph of the same formula, meV/atom: 0
DFT total energy, eV/atom: -3.033
Space-group type: No. 122

Cell: 6.0015 6.0015 12.4822 Å, 90.00 90.00 90.00°
Closest atoms and distances in Å follow each position.
Positions (direct):
In (0.0000, 0.0000, 0.0000)  4 Pb 3.18
In (0.0000, 0.5000, 0.2500)  4 Pb 3.18
In (0.5000, 0.0000, 0.7500)  4 Pb 3.18
In (0.5000, 0.5000, 0.5000)  4 Pb 3.18
H (0.0000, 0.0000, 0.5000)  4 Pb 2.27
H (0.0000, 0.5000, 0.7500)  4 Pb 2.27
H (0.5000, 0.0000, 0.2500)  4 Pb 2.27
H (0.5000, 0.5000, 0.0000)  4 Pb 2.27
Pb (0.1113, 0.2500, 0.6250)  2 H 2.27
Pb (0.2500, 0.6113, 0.8750)  2 H 2.27
Pb (0.2500, 0.8887, 0.3750)  2 H 2.27
Pb (0.3887, 0.2500, 0.1250)  2 H 2.27
Pb (0.6113, 0.7500, 0.1250)  2 H 2.27
Pb (0.7500, 0.1113, 0.3750)  2 H 2.27
Pb (0.7500, 0.3887, 0.8750)  2 H 2.27
Pb (0.8887, 0.7500, 0.6250)  2 H 2.27

=====

# 7
VASP calculation (PBE) on Dy5GaS5 after structural relaxation.

## Properties
DFT total energy, eV/atom: -6.014
Space-group type: No. 12
Energy relative to the elements, uncorrected, eV/atom: -1.7712

Cell: 6.8780 6.8780 7.9533 Å, 106.84 106.84 47.88°
Closest atoms and distances in Å follow each position.
Positions (direct):
Dy (0.0000, 0.0000, 0.0000)  2 Ga 2.79, 4 S 2.83-2.84
Dy (0.3331, 0.3331, 0.6608)  5 S 2.75-2.82, 1 Ga 2.84
Dy (0.3380, 0.3380, 0.1766)  5 S 2.73-2.81, 1 Ga 2.82
Dy (0.6620, 0.6620, 0.8234)  5 S 2.73-2.81, 1 Ga 2.82
Dy (0.6669, 0.6669, 0.3392)  5 S 2.75-2.82, 1 Ga 2.84
Ga (0.5000, 0.5000, 0.0000)  6 Dy 2.79-2.84
S (0.1726, 0.1726, 0.3327)  5 Dy 2.74-2.84
S (0.1729, 0.1729, 0.8422)  5 Dy 2.80-2.83
S (0.5000, 0.5000, 0.5000)  4 Dy 2.73-2.78
S (0.8271, 0.8271, 0.1578)  5 Dy 2.80-2.83
S (0.8274, 0.8274, 0.6673)  5 Dy 2.74-2.84

=====

# 8
VASP calculation (PBE) on LiPaTcO4 after structural relaxation.

## Properties
DFT total energy, eV/atom: -8.316
Space-group type: No. 74
Energy relative to the elements, uncorrected, eV/atom: -2.3719

Cell: 6.2323 6.2323 6.2323 Å, 125.70 110.14 94.13°
Closest atoms and distances in Å follow each position.
Positions (direct):
Li (0.3900, 0.1400, 0.2500)  2 O 1.88
Li (0.6100, 0.8600, 0.7500)  2 O 1.88
Pa (0.0000, 0.5000, 0.5000)  6 O 2.23-2.24
Pa (0.5000, 0.5000, 0.0000)  6 O 2.23-2.24
Tc (0.0000, 0.0000, 0.5000)  6 O 2.17
Tc (0.0000, 0.5000, 0.0000)  6 O 2.17
O (0.2170, 0.2385, 0.9785)  1 Li 2.11, 2 Tc 2.17, 1 Pa 2.23
O (0.2400, 0.7615, 0.4785)  1 Li 2.11, 2 Tc 2.17, 1 Pa 2.23
O (0.2552, 0.2683, 0.5131)  1 Li 1.88
O (0.2552, 0.7421, 0.9869)  1 Li 1.88
O (0.7448, 0.2579, 0.0131)  1 Li 1.88
O (0.7448, 0.7317, 0.4869)  1 Li 1.88
O (0.7600, 0.2385, 0.5215)  1 Li 2.11, 2 Tc 2.17, 1 Pa 2.23
O (0.7830, 0.7615, 0.0215)  1 Li 2.11, 2 Tc 2.17, 1 Pa 2.23

=====

# 9
VASP calculation (PBE) on PmHo5P6 after structural relaxation.

## Properties
DFT total energy, eV/atom: -6.610
Formation energy from the elements, eV per formula unit: -19.22
Space-group type: No. 12

Cell: 6.9503 6.9503 6.9503 Å, 99.61 99.61 119.97°
Closest atoms and distances in Å follow each position.
Positions (direct):
Pm (0.0000, 0.0000, 0.0000)  6 P 2.88
Ho (0.1658, 0.8342, 0.5000)  6 P 2.81-2.84
Ho (0.3331, 0.6669, 0.0000)  6 P 2.83-2.84
Ho (0.5000, 0.5000, 0.5000)  6 P 2.80-2.84
Ho (0.6669, 0.3331, 0.0000)  6 P 2.83-2.84
Ho (0.8342, 0.1658, 0.5000)  6 P 2.81-2.84
P (0.0844, 0.4224, 0.2531)  5 Ho 2.81-2.84, 1 Pm 2.88
P (0.2539, 0.2539, 0.7474)  5 Ho 2.80-2.84, 1 Pm 2.88
P (0.4224, 0.0844, 0.2531)  5 Ho 2.81-2.84, 1 Pm 2.88
P (0.5776, 0.9156, 0.7469)  5 Ho 2.81-2.84, 1 Pm 2.88
P (0.7461, 0.7461, 0.2526)  5 Ho 2.80-2.84, 1 Pm 2.88
P (0.9156, 0.5776, 0.7469)  5 Ho 2.81-2.84, 1 Pm 2.88

=====

# 10
VASP calculation (PBE) on Pm4TeIrS2 after structural relaxation.

## Properties
DFT total energy, eV/atom: -6.371
Space-group type: No. 10
Energy relative to the elements, uncorrected, eV/atom: -1.4636

Cell: 7.2824 4.1187 7.3981 Å, 90.00 108.76 90.00°
Closest atoms and distances in Å follow each position.
Positions (direct):
Pm (0.2318, 0.0000, 0.2228)  3 S 2.83-3.05, 1 Ir 2.93, 2 Te 3.11
Pm (0.2542, 0.5000, 0.7731)  3 S 2.87-3.06, 2 Ir 2.89, 1 Te 3.10
Pm (0.7458, 0.5000, 0.2269)  3 S 2.87-3.06, 2 Ir 2.89, 1 Te 3.10
Pm (0.7682, 0.0000, 0.7772)  3 S 2.83-3.05, 1 Ir 2.93, 2 Te 3.11
Te (0.5000, 0.5000, 0.5000)  6 Pm 3.10-3.11
Ir (0.5000, 0.0000, 0.0000)  6 Pm 2.89-2.93
S (0.0000, 0.0000, 0.5000)  6 Pm 3.05-3.06
S (0.0000, 0.5000, 0.0000)  6 Pm 2.83-2.87

=====

# 11
VASP calculation (PBE) on TlRe2IrS after structural relaxation.

## Properties
DFT total energy, eV/atom: -6.135
Space-group type: No. 123
Energy relative to the elements, uncorrected, eV/atom: 1.9151

Cell: 4.8195 4.8195 5.2511 Å, 90.00 90.00 90.00°
Closest atoms and distances in Å follow each position.
Positions (direct):
Tl (0.0000, 0.0000, 0.0000)  2 Ir 2.63
Re (0.0000, 0.5000, 0.5000)  2 Ir 2.41
Re (0.5000, 0.0000, 0.5000)  2 Ir 2.41
Ir (0.0000, 0.0000, 0.5000)  4 Re 2.41, 2 Tl 2.63
S (0.5000, 0.5000, 0.0000)  4 Tl 3.41, 8 Re 3.56

=====

# 12
VASP calculation (PBE) on Ag2SbF6 after structural relaxation.

## Properties
DFT total energy, eV/atom: -4.069
Space-group type: No. 136
Energy relative to the elements, uncorrected, eV/atom: -1.7299

Cell: 5.3940 5.3940 10.8228 Å, 90.00 90.00 90.00°
Closest atoms and distances in Å follow each position.
Positions (direct):
Ag (0.0000, 0.0000, 0.1626)  6 F 2.41-2.57
Ag (0.0000, 0.0000, 0.8374)  6 F 2.41-2.57
Ag (0.5000, 0.5000, 0.3374)  6 F 2.41-2.57
Ag (0.5000, 0.5000, 0.6626)  6 F 2.41-2.57
Sb (0.0000, 0.0000, 0.5000)  6 F 2.05-2.07
Sb (0.5000, 0.5000, 0.0000)  6 F 2.05-2.07
F (0.1854, 0.1854, 0.3606)  1 Sb 2.07
F (0.1854, 0.1854, 0.6394)  1 Sb 2.07
F (0.2307, 0.2307, 0.0000)  1 Sb 2.05
F (0.2693, 0.7307, 0.5000)  1 Sb 2.05
F (0.3146, 0.6854, 0.1394)  1 Sb 2.07
F (0.3146, 0.6854, 0.8606)  1 Sb 2.07
F (0.6854, 0.3146, 0.1394)  1 Sb 2.07
F (0.6854, 0.3146, 0.8606)  1 Sb 2.07
F (0.7307, 0.2693, 0.5000)  1 Sb 2.05
F (0.7693, 0.7693, 0.0000)  1 Sb 2.05
F (0.8146, 0.8146, 0.3606)  1 Sb 2.07
F (0.8146, 0.8146, 0.6394)  1 Sb 2.07